(1)
VASP calculation (PBE-GGA) on an optimized crystal structure of PrTh2Pt2.

Summary:
E, eV/f.u.: -35.5
M_tot, μB/f.u.: 0.0
Formation energy, eV per atom: -0.762
Energy above the lowest structure with this stoichiometry, meV/atom: 175

abc: 5.292 5.292 6.286
angles: 114.96 114.96 90.02
Sites, in units of the cell vectors:
Pr: 0.000 0.000 0.000
Th: 0.250 0.750 0.500
Th: 0.750 0.250 0.500
Pt: 0.632 0.632 0.265
Pt: 0.368 0.368 0.735

---

(2)
VASP calculation (PBE-GGA) on an optimized crystal structure of RbSrNi2Ge.

Summary:
E, eV/f.u.: -16.7
M_tot, μB/f.u.: 0.6
Formation energy, eV per atom: 0.426

abc: 4.744 5.737 4.744
angles: 90.00 90.00 90.00
Last column: magnetic moment on the atom in μB.
Sites, in units of the cell vectors:
Sr: 0.000 0.500 0.000  -0.01
Ge: 0.000 0.000 0.000  0.02
Rb: 0.500 0.500 0.500  -0.01
Ni: 0.000 0.000 0.500  0.25
Ni: 0.500 0.000 0.000  0.40

---

(3)
VASP calculation (PBE-GGA) on an optimized crystal structure of NaTaRuO6.

Summary:
Energy relative to the elements, uncorrected, meV per atom: -1686
E, eV/f.u.: -67.4
M_tot, μB/f.u.: 2.0

abc: 5.255 5.255 10.365
angles: 90.00 90.00 120.00
Last column: magnetic moment on the atom in μB.
Sites, in units of the cell vectors:
Na: 0.000 0.000 0.000  0.00
Na: 0.000 0.000 0.500  0.00
Ta: 0.667 0.333 0.250  0.06
Ta: 0.333 0.667 0.750  0.06
Ru: 0.333 0.667 0.250  1.34
Ru: 0.667 0.333 0.750  1.34
O: 0.619 0.627 0.146  0.08
O: 0.008 0.381 0.146  0.08
O: 0.381 0.008 0.646  0.08
O: 0.992 0.619 0.854  0.08
O: 0.373 0.381 0.354  0.08
O: 0.008 0.627 0.354  0.08
O: 0.627 0.008 0.854  0.08
O: 0.619 0.992 0.354  0.08
O: 0.992 0.373 0.646  0.08
O: 0.373 0.992 0.146  0.08
O: 0.627 0.619 0.646  0.08
O: 0.381 0.373 0.854  0.08

---

(4)
VASP calculation (PBE-GGA) on an optimized crystal structure of KTe2Se.

Summary:
Energy relative to the elements, uncorrected, meV per atom: -467
E, eV/f.u.: -12.7
M_tot, μB/f.u.: 0.0

abc: 4.542 4.541 7.237
angles: 90.00 90.00 90.00
Sites, in units of the cell vectors:
K: 0.000 0.000 0.622
Te: 0.000 0.000 0.114
Te: 0.500 0.500 0.055
Se: 0.500 0.500 0.708

---

(5)
VASP calculation (PBE-GGA) on an optimized crystal structure of KTbPrNbO6.

Summary:
Energy relative to the elements, uncorrected, meV per atom: -2749
E, eV/f.u.: -77.8
M_tot, μB/f.u.: 0.0

abc: 5.961 5.961 5.961
angles: 60.00 60.00 60.00
Sites, in units of the cell vectors:
K: 0.250 0.250 0.250
Tb: 0.500 0.500 0.500
Pr: 0.750 0.750 0.750
Nb: 0.000 0.000 0.000
O: 0.237 0.763 0.237
O: 0.763 0.237 0.763
O: 0.237 0.763 0.763
O: 0.763 0.237 0.237
O: 0.237 0.237 0.763
O: 0.763 0.763 0.237

---

(6)
VASP calculation (PBE-GGA) on an optimized crystal structure of Sr4AsSeCl2.

Summary:
Energy relative to the elements, uncorrected, meV per atom: -1770
E, eV/f.u.: -32.7
M_tot, μB/f.u.: 0.0

abc: 4.486 7.557 7.753
angles: 70.01 90.00 90.00
Sites, in units of the cell vectors:
Sr: 0.000 0.734 0.749
Sr: 0.000 0.266 0.251
Sr: 0.500 0.732 0.262
Sr: 0.500 0.268 0.738
As: 0.000 0.500 0.500
Se: 0.500 0.500 0.000
Cl: 0.000 0.000 0.000
Cl: 0.500 0.000 0.500

---

(7)
VASP calculation (PBE-GGA) on an optimized crystal structure of Hf2GaS6.

Summary:
Energy relative to the elements, uncorrected, meV per atom: -993
E, eV/f.u.: -56.6
M_tot, μB/f.u.: 0.0

abc: 5.964 5.964 11.141
angles: 90.00 90.00 90.00
Sites, in units of the cell vectors:
Hf: 0.500 0.500 0.337
Hf: 0.500 0.500 0.663
Hf: 0.000 0.000 0.163
Hf: 0.000 0.000 0.837
Ga: 0.500 0.500 0.000
Ga: 0.000 0.000 0.500
S: 0.695 0.695 0.164
S: 0.695 0.695 0.836
S: 0.702 0.702 0.500
S: 0.798 0.202 0.000
S: 0.805 0.195 0.336
S: 0.805 0.195 0.664
S: 0.195 0.805 0.336
S: 0.195 0.805 0.664
S: 0.202 0.798 0.000
S: 0.298 0.298 0.500
S: 0.305 0.305 0.164
S: 0.305 0.305 0.836

---

(8)
VASP calculation (PBE-GGA) on an optimized crystal structure of LiMg2Be2.

Summary:
E, eV/f.u.: -11.4
M_tot, μB/f.u.: 0.0
Formation energy, eV per atom: 0.240

abc: 7.347 7.347 2.927
angles: 90.00 90.00 90.00
Sites, in units of the cell vectors:
Be: 0.396 0.896 0.000
Be: 0.896 0.604 0.000
Be: 0.604 0.104 0.000
Be: 0.104 0.396 0.000
Mg: 0.185 0.685 0.500
Mg: 0.685 0.815 0.500
Mg: 0.815 0.315 0.500
Mg: 0.315 0.185 0.500
Li: 0.000 0.000 0.000
Li: 0.500 0.500 0.000

---

Number 1: V 28.241 A^3/atom. Number 2: V 25.825 A^3/atom. Number 3: V 13.773 A^3/atom. Number 4: V 37.316 A^3/atom. Number 5: V 14.978 A^3/atom. Number 6: V 30.875 A^3/atom. Number 7: V 22.014 A^3/atom. Number 8: V 15.796 A^3/atom.